! NdTm2Si (PBE, optimized geometry); values from VASP
&SYSTEM
  ibrav = 0, nat = 4, ntyp = 3
/
ATOMIC_SPECIES
Tm 168.93 Tm.upf
Si 28.09 Si.upf
Nd 144.24 Nd.upf
CELL_PARAMETERS angstrom
-0.968 2.100 2.827
-3.524 0.755 0.591
-2.257 -7.040 6.815
ATOMIC_POSITIONS angstrom
Tm -5.107 -3.608 8.009
Tm -1.643 -0.577 2.225
Si 0.000 0.000 0.000
Nd -3.375 -2.092 5.117
! Symmetry ... R-3m (166)
! Total magnetic moment ... 0.00 μB per formula unit
! Formation energy from raw total energies ... -0.167 eV per atom
! D(E_F) ... 4.53 states/eV/f.u.